(1)
Density functional theory data (GGA-PBE) for an optimized crystal structure of La5PmCd.

Output
The formation energy is 0.045 eV per atom. As for the energy above the most stable polymorph in this dataset: 2.1 kJ per mole of atoms. The value obtained for the density of states at the Fermi level is 20.4 states/eV per cell.

Structure (extended XYZ):
```
14
Lattice="7.329 -3.357 0.000 7.329 3.357 0.000 -6.697 0.000 9.809" Properties=species:S:1:pos:R:3 pbc="T T T"
La 2.307 3.281 7.357
La -1.621 1.701 8.578
La 3.424 1.674 4.388
La 7.885 1.674 0.516
La 6.234 1.701 6.135
La 1.727 -1.701 3.674
La 0.076 -1.674 9.293
La 4.537 -1.674 5.421
La 9.582 -1.701 1.231
La 5.655 -3.281 2.452
Pm 2.307 0.061 7.357
Pm 5.655 -0.061 2.452
Cd 0.316 1.679 4.905
Cd 3.664 -1.679 0.000
```

(2)
Density functional theory data (GGA-PBE) for an optimized crystal structure of LaPm3Cd.

Output
The formation energy is -0.107 eV per atom. As for the energy above the most stable polymorph in this dataset: 0.0 kJ per mole of atoms. The value obtained for the density of states at the Fermi level is 14.6 states/eV per cell.

Structure (extended XYZ):
```
10
Lattice="3.798 0.000 0.000 1.899 6.664 0.000 0.005 0.665 12.967" Properties=species:S:1:pos:R:3 pbc="T T T"
La 0.948 0.424 3.249
La 4.755 6.905 9.718
Pm 0.954 3.288 8.938
Pm 0.956 2.026 12.309
Pm 2.853 5.472 6.822
Pm 2.849 1.858 6.145
Pm 4.747 5.303 0.658
Pm 4.749 4.041 4.028
Cd 2.854 4.603 11.320
Cd 2.848 2.727 1.647
```

(3)
Density functional theory data (GGA-PBE) for an optimized crystal structure of La7PmCd4.

Output
The formation energy is -0.059 eV per atom. The value obtained for the density of states at the Fermi level is 14.9 states/eV per cell.

Structure (extended XYZ):
```
12
Lattice="7.644 -3.003 0.000 7.644 3.003 0.000 -5.517 0.000 8.600" Properties=species:S:1:pos:R:3 pbc="T T T"
La 0.000 0.000 0.000
La -0.206 0.000 5.968
La 3.902 0.000 0.955
La 3.346 0.000 5.113
La 6.426 0.000 3.486
La 5.870 0.000 7.645
La 9.978 0.000 2.631
Pm 7.644 0.000 0.000
Cd -3.326 0.000 6.151
Cd 0.878 0.000 2.976
Cd 8.893 0.000 5.624
Cd 13.098 0.000 2.449
```